# 1
Material: RbAlGa2Pb
Method: DFT, GGA-PBE
State: relaxed

Lattice parameters (Å, degrees): 5.757 5.859 5.757 90.00 90.00 90.00
Positions (direct):
Pb 0.500 0.500 0.500
Ga 0.000 0.000 0.500
Ga 0.500 0.000 0.000
Rb 0.000 0.000 0.000
Al 0.000 0.500 0.000

Results
For the magnetization, the calculation gives 0.0 μB/cell. The formation energy is 27.5 kcal/mol of atoms.

=====

# 2
Material: ZnAsRh2
Method: DFT, GGA-PBE
State: relaxed

Lattice parameters (Å, degrees): 4.393 4.393 4.393 60.00 60.00 60.00
Positions (direct):
As 0.500 0.500 0.500
Rh 0.000 0.000 0.000
Rh 0.250 0.250 0.250
Zn 0.750 0.750 0.750

Results
For the magnetization, the calculation gives 0.0 μB/cell. The formation energy is -0.2 kcal/mol of atoms. The value obtained for the polymorph energy (0 for the lowest one) is 32.3 kJ per mole of atoms.

=====

# 3
Material: Ba2ZrMo
Method: DFT, GGA-PBE
State: relaxed

Lattice parameters (Å, degrees): 5.475 5.475 5.475 60.00 60.00 60.00
Positions (direct):
Mo 0.500 0.500 0.500
Ba 0.250 0.250 0.250
Ba 0.750 0.750 0.750
Zr 0.000 0.000 0.000

Results
For the magnetization, the calculation gives 0.0 μB/cell. The formation energy is 31.2 kcal/mol of atoms. The value obtained for the polymorph energy (0 for the lowest one) is 82.0 kJ per mole of atoms.

=====

# 4
Material: Hg6Bi7Pb16
Method: DFT, GGA-PBE
State: relaxed

Lattice parameters (Å, degrees): 11.407 11.407 11.407 60.00 60.00 60.00
Positions (direct):
Hg 0.247 0.753 0.247
Hg 0.753 0.247 0.753
Hg 0.753 0.247 0.247
Hg 0.247 0.753 0.753
Hg 0.753 0.753 0.247
Hg 0.247 0.247 0.753
Bi 0.000 0.000 0.000
Bi 0.500 0.000 0.500
Bi 0.000 0.500 0.000
Bi 0.000 0.500 0.500
Bi 0.500 0.000 0.000
Bi 0.000 0.000 0.500
Bi 0.500 0.500 0.000
Pb 0.879 0.879 0.362
Pb 0.879 0.879 0.879
Pb 0.879 0.362 0.879
Pb 0.362 0.879 0.879
Pb 0.121 0.121 0.121
Pb 0.121 0.121 0.638
Pb 0.121 0.638 0.121
Pb 0.638 0.121 0.121
Pb 0.672 0.672 0.985
Pb 0.672 0.672 0.672
Pb 0.672 0.985 0.672
Pb 0.985 0.672 0.672
Pb 0.328 0.328 0.328
Pb 0.328 0.328 0.015
Pb 0.328 0.015 0.328
Pb 0.015 0.328 0.328

Results
For the magnetization, the calculation gives 0.0 μB/cell. The formation energy is 1.6 kcal/mol of atoms.